# 1
This record from the Alexandria database describes Ce2H2Se after structural relaxation. The functional is PBE-GGA.

abc: 6.1016 6.1016 6.1197
angles: 113.19 107.45 107.71
Last column: nearest neighbours and their distance in Å.
Atoms (fractional coordinates):
H  0.7520  0.4870  0.4888  4 Ce 2.30-2.37, 1 H 2.38
H  0.4982  0.2632  0.0112  4 Ce 2.30-2.37, 1 H 2.38
H  0.2480  0.5130  0.5112  4 Ce 2.30-2.37, 1 H 2.38
H  0.5018  0.7368  0.9888  4 Ce 2.30-2.37, 1 H 2.38
Se  0.0386  0.7886  0.2500  4 H 3.04-3.21, 8 Ce 3.06-3.38
Se  0.9614  0.2114  0.7500  4 H 3.04-3.21, 8 Ce 3.06-3.38
Ce  0.8280  0.1737  0.1817  4 H 2.30-2.37
Ce  0.1720  0.8263  0.8183  4 H 2.30-2.37
Ce  0.4920  0.6463  0.3183  4 H 2.30-2.37
Ce  0.5080  0.3537  0.6817  4 H 2.30-2.37

Calculated values
ρ	6.85	Mg/m³
E above lowest polymorph	0.0	meV/atom
SG	C2/c, No. 15

=====

# 2
This record from the Alexandria database describes Li3TcNi after structural relaxation. The functional is PBE-GGA.

abc: 4.1231 4.1231 4.1231
angles: 90.00 90.00 90.00
Last column: nearest neighbours and their distance in Å.
Atoms (fractional coordinates):
Li  0.5000  0.0000  0.0000  2 Ni 2.06
Li  0.0000  0.5000  0.0000  2 Ni 2.06
Li  0.0000  0.0000  0.5000  2 Ni 2.06
Tc  0.5000  0.5000  0.5000  12 Li 2.92
Ni  0.0000  0.0000  0.0000  6 Li 2.06

Calculated values
ΔH_f (0 K)	1.041	eV per atom
ρ	4.21	Mg/m³
E above lowest polymorph	0.0	meV/atom
SG	Pm-3m, No. 221

=====

# 3
This record from the Alexandria database describes KLi4Cd after structural relaxation. The functional is PBE-GGA.

abc: 5.9947 5.9947 5.9947
angles: 60.00 60.00 60.00
Last column: nearest neighbours and their distance in Å.
Atoms (fractional coordinates):
Li  0.3775  0.3775  0.3775  6 Li 2.94-3.06
Li  0.3775  0.8676  0.3775  6 Li 2.94-3.06
Li  0.8676  0.3775  0.3775  6 Li 2.94-3.06
Li  0.3775  0.3775  0.8676  6 Li 2.94-3.06
Cd  0.7500  0.7500  0.7500  12 Li 3.51, 4 K 3.67
K  0.0000  0.0000  0.0000  12 Li 3.52, 4 Cd 3.67

Calculated values
ΔH_f (0 K)	0.047	eV per atom
ρ	1.95	Mg/m³
SG	F-43m, No. 216

=====

# 4
This record from the Alexandria database describes Ca2InPt3 after structural relaxation. The functional is PBE-GGA.

abc: 5.4689 5.4689 5.4689
angles: 62.59 62.59 62.59
Last column: nearest neighbours and their distance in Å.
Atoms (fractional coordinates):
Ca  0.6230  0.6230  0.6230  9 Pt 3.21-3.27, 4 Ca 3.23-3.48, 3 In 3.33
Ca  0.3770  0.3770  0.3770  9 Pt 3.21-3.27, 4 Ca 3.23-3.48, 3 In 3.33
In  0.0000  0.0000  0.0000  6 Pt 2.73
Pt  0.0000  0.0000  0.5000  2 In 2.73, 4 Pt 2.84
Pt  0.5000  0.0000  0.0000  2 In 2.73, 4 Pt 2.84
Pt  0.0000  0.5000  0.0000  2 In 2.73, 4 Pt 2.84

Calculated values
ΔH_f (0 K)	-0.864	eV per atom
ρ	10.59	Mg/m³
E above lowest polymorph	0.0	meV/atom
SG	R-3m, No. 166

=====

# 5
This record from the Alexandria database describes HfCrGa3 after structural relaxation. The functional is PBE-GGA.

abc: 4.1256 6.2929 6.6143
angles: 90.00 90.00 90.00
Last column: nearest neighbours and their distance in Å.
Atoms (fractional coordinates):
Hf  0.2500  0.7500  0.7542  6 Ga 2.81-2.89, 2 Cr 2.90
Hf  0.7500  0.2500  0.2458  6 Ga 2.81-2.89, 2 Cr 2.90
Cr  0.2500  0.2500  0.5549  7 Ga 2.53-2.61
Cr  0.7500  0.7500  0.4451  7 Ga 2.53-2.61
Ga  0.7500  0.7500  0.0600  1 Cr 2.55
Ga  0.2500  0.9516  0.2990  3 Cr 2.53-2.61, 1 Ga 2.54, 2 Hf 2.81
Ga  0.7500  0.4516  0.7010  3 Cr 2.53-2.61, 1 Ga 2.54, 2 Hf 2.81
Ga  0.7500  0.0484  0.7010  3 Cr 2.53-2.61, 1 Ga 2.54, 2 Hf 2.81
Ga  0.2500  0.2500  0.9400  1 Cr 2.55
Ga  0.2500  0.5484  0.2990  3 Cr 2.53-2.61, 1 Ga 2.54, 2 Hf 2.81

Calculated values
ΔH_f (0 K)	-0.037	eV per atom
ρ	8.50	Mg/m³
E above lowest polymorph	0.0	meV/atom
SG	Pmmn, No. 59

=====

# 6
This record from the Alexandria database describes K2AcPaSe4 after structural relaxation. The functional is PBE-GGA.

abc: 4.3636 7.6470 8.1701
angles: 107.89 90.00 90.00
Last column: nearest neighbours and their distance in Å.
Atoms (fractional coordinates):
Se  0.0000  0.7213  0.2109  2 Pa 2.97, 1 Ac 3.13, 1 K 3.30
Se  0.5000  0.7418  0.7811  1 Pa 2.94, 2 Ac 3.11, 2 K 3.29
Se  0.0000  0.2787  0.7891  2 Pa 2.97, 1 Ac 3.13, 1 K 3.30
Se  0.5000  0.2582  0.2189  1 Pa 2.94, 2 Ac 3.11, 2 K 3.29
Pa  0.5000  0.5000  0.0000  6 Se 2.94-2.97
Ac  0.0000  0.0000  0.0000  6 Se 3.11-3.13
K  0.5000  0.0000  0.5000  6 Se 3.43-3.46
K  0.0000  0.5000  0.5000  6 Se 3.29-3.30

Calculated values
ρ	5.45	Mg/m³
SG	P2/m, No. 10
ΔE_f (raw)	-1.52	eV per atom

=====

# 7
This record from the Alexandria database describes Ba2HfThAs4 after structural relaxation. The functional is PBE-GGA.

abc: 4.2859 7.3857 7.8797
angles: 108.19 90.00 90.00
Last column: nearest neighbours and their distance in Å.
Atoms (fractional coordinates):
Th  0.5000  0.5000  0.0000  6 As 2.97-2.98
Ba  0.5000  0.0000  0.5000  6 As 3.25-3.26
Ba  0.0000  0.5000  0.5000  6 As 3.38-3.39
As  0.0000  0.7527  0.2070  1 Hf 2.80, 2 Th 2.97
As  0.5000  0.7820  0.7996  2 Hf 2.84, 1 Th 2.98
As  0.5000  0.2180  0.2004  2 Hf 2.84, 1 Th 2.98
As  0.0000  0.2473  0.7930  1 Hf 2.80, 2 Th 2.97
Hf  0.0000  0.0000  0.0000  6 As 2.80-2.84

Calculated values
ΔH_f (0 K)	-1.151	eV per atom
ρ	6.90	Mg/m³
SG	P2/m, No. 10

=====

# 8
This record from the Alexandria database describes LiAc2CuIr2 after structural relaxation. The functional is PBE-GGA.

abc: 5.9895 5.9803 8.5071
angles: 110.58 110.61 90.00
Last column: nearest neighbours and their distance in Å.
Atoms (fractional coordinates):
Ir  0.8608  0.1161  0.2321  2 Cu 2.71, 2 Li 2.74
Ir  0.3713  0.6161  0.2321  2 Cu 2.71, 2 Li 2.74
Ir  0.1392  0.8839  0.7679  2 Cu 2.71, 2 Li 2.74
Ir  0.6287  0.3839  0.7679  2 Cu 2.71, 2 Li 2.74
Ac  0.5877  0.8376  0.6753  5 Ir 3.04-3.27, 2 Li 3.20, 2 Cu 3.20
Ac  0.9125  0.6624  0.3247  5 Ir 3.04-3.27, 2 Li 3.20, 2 Cu 3.20
Ac  0.4123  0.1624  0.3247  5 Ir 3.04-3.27, 2 Li 3.20, 2 Cu 3.20
Ac  0.0875  0.3376  0.6753  5 Ir 3.04-3.27, 2 Li 3.20, 2 Cu 3.20
Li  0.0000  0.7500  0.0000  4 Ir 2.74, 2 Li 2.99, 2 Cu 2.99
Li  0.0000  0.2500  0.0000  4 Ir 2.74, 2 Li 2.99, 2 Cu 2.99
Cu  0.5000  0.7500  0.0000  4 Ir 2.71, 2 Cu 2.99, 2 Li 2.99
Cu  0.5000  0.2500  0.0000  4 Ir 2.71, 2 Cu 2.99, 2 Li 2.99

Calculated values
ΔH_f (0 K)	-0.404	eV per atom
ρ	11.42	Mg/m³
SG	Ibam, No. 72